(1)
20
Lattice="-2.089 9.172 0.022 -0.301 -3.009 -8.908 -6.722 -4.504 4.798" Properties=species:S:1:pos:R:3 comment="Pm7GeBr12 (PBE, relaxed)" dft_energy_ev_per_atom=-4.5529 mass_density_g_cm3=5.0 sg="No. 148" dos_at_fermi_per_ev_fu=9.94 total_magnetization_mub_per_fu=0.00 e_form_raw_ev_per_atom=-1.66 pbc="T T T"
Pm -0.917 -1.163 -2.385
Pm -0.953 2.513 -0.812
Pm -2.444 -0.564 1.262
Pm -8.159 -0.853 -3.276
Pm -4.556 0.830 -2.044
Pm -6.669 2.224 -5.349
Pm -8.195 2.823 -1.702
Br -3.649 2.085 0.457
Br -3.616 -1.828 -1.206
Br -1.905 -2.386 -5.051
Br -5.139 -1.251 2.619
Br -5.496 3.488 -2.882
Br -5.463 -0.425 -4.544
Br -3.973 2.911 -6.706
Br -7.207 4.045 0.964
Br -2.028 1.436 -3.420
Br -2.037 5.291 -1.641
Br -7.084 0.224 -0.667
Br -7.076 -3.631 -2.446
Ge 0.000 0.000 0.000

---

(2)
10
Lattice="6.208 0.000 0.000 3.104 6.995 0.000 3.104 0.000 6.995" Properties=species:S:1:pos:R:3 comment="Sm5SiTe4 (PBE, relaxed)" dft_energy_ev_per_atom=-5.4798 mass_density_g_cm3=7.1 sg="No. 87" dos_at_fermi_per_ev_fu=5.40 total_magnetization_mub_per_fu=0.00 e_form_raw_ev_per_atom=-1.32 pbc="T T T"
Te 9.319 5.508 4.212
Te 3.111 1.487 2.783
Te 6.215 4.212 1.487
Te 6.215 2.783 5.508
Sm 3.110 0.000 0.000
Sm 6.214 1.252 2.577
Sm 9.318 2.577 5.742
Sm 6.214 5.742 4.417
Sm 3.110 4.417 1.252
Si 0.006 0.000 0.000

---

(3)
12
Lattice="5.520 0.000 0.000 0.000 6.053 -0.046 0.000 -1.261 5.920" Properties=species:S:1:pos:R:3 comment="DyNi2Ge3 (PBE, relaxed)" dft_energy_ev_per_atom=-5.3877 mass_density_g_cm3=8.4 delta_e_f_ev_per_atom=-0.385 sg="No. 63" dos_at_fermi_per_ev_fu=4.04 total_magnetization_mub_per_fu=0.00 pbc="T T T"
Dy 1.380 1.639 2.009
Dy 4.140 3.153 3.865
Ge 1.380 2.175 5.111
Ge 1.380 4.653 5.703
Ge 4.140 0.139 0.171
Ge 4.140 0.222 2.717
Ge 1.380 4.569 3.157
Ge 4.140 2.617 0.764
Ni 0.000 0.317 4.633
Ni 2.760 0.317 4.633
Ni 2.760 4.475 1.241
Ni 0.000 4.475 1.241

---

(4)
6
Lattice="3.351 -5.734 0.000 3.351 5.734 0.000 0.000 0.000 4.023" Properties=species:S:1:pos:R:3 comment="CuTe2 (PBE, relaxed)" dft_energy_ev_per_atom=-3.3668 mass_density_g_cm3=6.8 sg="No. 63" dos_at_fermi_per_ev_fu=1.62 total_magnetization_mub_per_fu=0.00 e_form_raw_ev_per_atom=0.09 pbc="T T T"
Te 4.843 1.454 1.006
Te 1.859 -1.454 3.017
Te 1.859 1.454 3.017
Te 4.843 -1.454 1.006
Cu 0.809 0.000 1.006
Cu 5.894 0.000 3.017

---

(5)
18
Lattice="-6.942 -0.965 3.739 5.879 -3.244 4.245 1.640 7.723 -0.882" Properties=species:S:1:pos:R:3 comment="Sc6Mn2Bi (PBE, relaxed)" dft_energy_ev_per_atom=-6.8854 mass_density_g_cm3=5.1 delta_e_f_ev_per_atom=-0.196 sg="No. 71" dos_at_fermi_per_ev_fu=7.41 total_magnetization_mub_per_fu=1.55 pbc="T T T"
Bi 0.000 0.000 0.000
Bi 3.760 2.239 1.681
Sc 0.549 2.607 1.448
Sc -1.448 3.364 3.695
Sc 4.865 1.840 4.676
Sc -3.955 -1.466 3.873
Sc 2.338 5.232 0.875
Sc 1.886 3.446 4.263
Sc -1.309 0.067 2.838
Sc 4.532 4.979 3.229
Sc 2.026 0.149 3.406
Sc -1.760 -1.720 6.226
Sc -4.288 1.672 2.425
Sc 0.028 0.906 5.654
Mn 0.306 -1.606 4.366
Mn 0.271 5.119 2.735
Mn -3.271 4.168 1.762
Mn -2.031 2.589 1.095

---

(6)
10
Lattice="6.600 -0.026 0.480 0.018 5.877 0.026 3.672 2.925 4.669" Properties=species:S:1:pos:R:3 comment="Na2BPPd6 (PBE, relaxed)" dft_energy_ev_per_atom=-4.9319 mass_density_g_cm3=7.1 delta_e_f_ev_per_atom=-0.344 sg="No. 2" dos_at_fermi_per_ev_fu=3.04 total_magnetization_mub_per_fu=0.00 pbc="T T T"
Pd 3.187 2.929 2.346
Pd 8.394 4.305 4.808
Pd 7.103 5.847 2.828
Pd 8.396 7.390 4.821
Pd 1.896 4.471 0.366
Pd 1.894 1.386 0.353
B 3.309 2.925 0.253
P 0.000 0.000 0.000
Na 6.404 2.909 2.436
Na 3.887 5.866 2.739

---

(7)
12
Lattice="4.234 0.439 0.201 0.640 6.275 0.486 0.381 0.672 8.694" Properties=species:S:1:pos:R:3 comment="CsPmHg2F8 (PBE, relaxed)" dft_energy_ev_per_atom=-4.2821 mass_density_g_cm3=6.1 sg="No. 2" dos_at_fermi_per_ev_fu=0.00 total_magnetization_mub_per_fu=0.00 e_form_raw_ev_per_atom=-2.52 pbc="T T T"
Hg 2.255 3.469 6.557
Hg 2.999 3.916 2.824
F 2.866 5.348 1.023
F 0.711 4.806 2.395
F 2.062 2.530 4.267
F 1.307 5.391 7.549
F 4.544 2.580 6.986
F 3.947 1.995 1.832
F 3.193 4.856 5.114
F 2.388 2.038 8.358
Pm 0.000 0.000 0.000
Cs 0.191 0.336 4.347

---

(8)
9
Lattice="5.466 0.000 0.000 0.000 5.466 0.000 0.000 0.000 11.647" Properties=species:S:1:pos:R:3 comment="TbSm2PaSb5 (PBE, relaxed)" dft_energy_ev_per_atom=-5.0574 mass_density_g_cm3=6.2 sg="No. 123" dos_at_fermi_per_ev_fu=5.92 total_magnetization_mub_per_fu=0.00 e_form_raw_ev_per_atom=-0.15 pbc="T T T"
Sb 0.000 2.733 5.824
Sb 2.733 0.000 5.824
Sb 0.000 0.000 2.873
Sb 2.733 2.733 0.000
Sb 0.000 0.000 8.774
Pa 0.000 0.000 5.824
Sm 2.733 2.733 8.475
Sm 2.733 2.733 3.173
Tb 0.000 0.000 0.000

---

- What is the formula in the second record?
  Sm5SiTe4

---

- Number 6 is which compound?
  Na2BPPd6